First-principles (GGA-PBE) data for a relaxed Zr3GaOs crystal, as listed in Alexandria.

Cell and atoms, written as CIF:
```
data_Zr3GaOs
_symmetry_space_group_name_H-M 'P m -3 m'
_symmetry_Int_Tables_number 221
_symmetry_space_group_name_Hall '-P 4 2 3'
_cell_length_a 5.0465
_cell_length_b 5.0465
_cell_length_c 5.0465
_cell_angle_alpha 90.00
_cell_angle_beta 90.00
_cell_angle_gamma 90.00
loop_
_atom_site_label
_atom_site_type_symbol
_atom_site_fract_x
_atom_site_fract_y
_atom_site_fract_z
Zr1 Zr 0.0000 0.0000 0.5000
Ga1 Ga 0.5000 0.5000 0.5000
Os1 Os 0.0000 0.0000 0.0000
```

## Properties
- energy relative to the lowest polymorph listed for this composition (meV/atom) = 0
- formation enthalpy at 0 K (eV per atom) = 0.352